A | {"formula": "BaNdPO", "functional": "GGA-PBE", "state": "optimized geometry", "vol_a3_per_cell": 198.2, "lattice_angstrom": [[5.698, 0.000, 0.000], [0.000, 5.698, 0.000], [0.000, 0.000, 6.104]], "species": ["O", "O", "P", "P", "Ba", "Ba", "Nd", "Nd"], "frac_coords": [[0.000, 0.000, 0.000], [0.500, 0.500, 0.000], [0.000, 0.500, 0.506], [0.500, 0.000, 0.494], [0.500, 0.000, 0.996], [0.000, 0.500, 0.004], [0.000, 0.000, 0.500], [0.500, 0.500, 0.500]]}

B | {"formula": "BaNdPO", "functional": "GGA-PBE", "state": "optimized geometry", "vol_a3_per_cell": 196.0, "lattice_angstrom": [[4.547, 0.000, 0.000], [0.000, 4.547, 0.000], [0.000, 0.000, 9.480]], "species": ["Nd", "Nd", "P", "P", "Ba", "Ba", "O", "O"], "frac_coords": [[0.000, 0.500, 0.089], [0.500, 0.000, 0.911], [0.500, 0.000, 0.279], [0.000, 0.500, 0.721], [0.000, 0.000, 0.500], [0.500, 0.500, 0.500], [0.500, 0.500, 0.000], [0.000, 0.000, 0.000]]}

It is A that is the most stable of them.